[1]
Entry from Alexandria via LeMat-Bulk: a geometry-optimized Ac2HoAg structure (PBE).

Values from the calculation:
Mass density (g/cm³): 8.0
Space group: No. 166
Polymorph energy (0 for the lowest one) (meV per atom): 386
Energy relative to the elements (meV per atom): 310

a = 3.7662 Å, b = 3.7662 Å, c = 12.4232 Å
α = 81.28°, β = 81.28°, γ = 60.00°
Closest atoms and distances in Å follow each position.
Positions (direct):
Ac1 0.0854 0.0854 0.7437  1 Ag 3.14
Ac2 0.9146 0.9146 0.2563  1 Ag 3.14
Ho1 0.5000 0.5000 0.5000  6 Ac 3.69, 6 Ho 3.77
Ag1 0.0000 0.0000 0.0000  2 Ac 3.14

[2]
Entry from Alexandria via LeMat-Bulk: a geometry-optimized Ce2AgP structure (PBE).

Values from the calculation:
Mass density (g/cm³): 7.4
Space group: No. 123
Energy relative to the elements (meV per atom): -644

a = 3.6338 Å, b = 3.6338 Å, c = 7.0951 Å
α = 90.00°, β = 90.00°, γ = 90.00°
Closest atoms and distances in Å follow each position.
Positions (direct):
Ce1 0.0000 0.0000 0.7842  4 P 2.99, 1 Ce 3.06, 4 Ag 3.27
Ce2 0.0000 0.0000 0.2158  4 P 2.99, 1 Ce 3.06, 4 Ag 3.27
P1 0.5000 0.5000 0.0000  8 Ce 2.99
Ag1 0.5000 0.5000 0.5000  8 Ce 3.27, 2 P 3.55, 4 Ag 3.63

[3]
Entry from Alexandria via LeMat-Bulk: a geometry-optimized Ba2SrGeO5 structure (PBE).

Values from the calculation:
Mass density (g/cm³): 5.4
Space group: No. 127
E_form (uncorrected) (meV/atom): -2148

a = 6.2875 Å, b = 7.1296 Å, c = 7.1296 Å
α = 90.00°, β = 90.00°, γ = 90.00°
Closest atoms and distances in Å follow each position.
Positions (direct):
O1 0.7976 0.8691 0.3691  1 Ge 1.83
O2 0.2024 0.6309 0.8691  1 Ge 1.83
O3 0.7976 0.6309 0.8691  1 Ge 1.83
O4 0.7976 0.3691 0.1309  1 Ge 1.83
O5 0.5000 0.0000 0.0000  4 Ba 2.63
O6 0.2024 0.8691 0.3691  1 Ge 1.83
O7 0.5000 0.5000 0.5000  4 Ba 2.63
O8 0.2024 0.3691 0.1309  1 Ge 1.83
O9 0.2024 0.1309 0.6309  1 Ge 1.83
O10 0.7976 0.1309 0.6309  1 Ge 1.83
Ba1 0.5000 0.3229 0.8229  8 O 2.63-2.90
Ba2 0.5000 0.6771 0.1771  8 O 2.63-2.90
Ba3 0.5000 0.8229 0.6771  8 O 2.63-2.90
Ba4 0.5000 0.1771 0.3229  8 O 2.63-2.90
Sr1 0.0000 0.5000 0.5000  10 O 3.07-3.14
Sr2 0.0000 0.0000 0.0000  10 O 3.07-3.14
Ge1 0.0000 0.5000 0.0000  4 O 1.83
Ge2 0.0000 0.0000 0.5000  4 O 1.83

[4]
Entry from Alexandria via LeMat-Bulk: a geometry-optimized PaTa structure (PBE).

Values from the calculation:
Mass density (g/cm³): 16.1
Space group: No. 129
Polymorph energy (0 for the lowest one) (meV per atom): 0
Energy relative to the elements (meV per atom): 81

a = 3.4410 Å, b = 3.4427 Å, c = 7.1900 Å
α = 90.00°, β = 90.00°, γ = 90.00°
Closest atoms and distances in Å follow each position.
Positions (direct):
Ta1 0.2500 0.2500 0.1103  4 Ta 2.90, 4 Pa 3.05
Ta2 0.7500 0.7500 0.8897  4 Ta 2.90, 4 Pa 3.05
Pa1 0.2500 0.2500 0.6341  4 Ta 3.05, 4 Pa 3.11
Pa2 0.7500 0.7500 0.3659  4 Ta 3.05, 4 Pa 3.11

[5]
Entry from Alexandria via LeMat-Bulk: a geometry-optimized Tb3MgRh8 structure (PBE).

Values from the calculation:
Mass density (g/cm³): 10.4
Space group: No. 160
Energy relative to the elements (meV per atom): -641

a = 5.3027 Å, b = 5.3027 Å, c = 9.2141 Å
α = 73.28°, β = 73.28°, γ = 60.00°
Closest atoms and distances in Å follow each position.
Positions (direct):
Tb1 0.3758 0.3758 0.8727  12 Rh 3.11-3.14, 4 Tb 3.29-3.33
Tb2 0.9962 0.9962 0.0115  12 Rh 3.07-3.22, 1 Mg 3.20, 3 Tb 3.29
Tb3 0.5036 0.5036 0.4892  12 Rh 3.03-3.15, 3 Mg 3.21, 1 Tb 3.33
Rh1 0.9378 0.4366 0.1890  6 Rh 2.64-2.67
Rh2 0.4366 0.4366 0.1890  6 Rh 2.64-2.67
Rh3 0.6876 0.6876 0.9372  6 Rh 2.67
Rh4 0.4366 0.9378 0.1890  6 Rh 2.64-2.67
Rh5 0.1877 0.1877 0.4368  6 Rh 2.64-2.65
Rh6 0.4386 0.9380 0.6853  6 Rh 2.65-2.67
Rh7 0.9380 0.9380 0.6853  6 Rh 2.65-2.67
Rh8 0.9380 0.4386 0.6853  6 Rh 2.65-2.67
Mg1 0.8734 0.8734 0.3796  12 Rh 3.06-3.13, 4 Tb 3.20-3.21

[6]
Entry from Alexandria via LeMat-Bulk: a geometry-optimized GdScCoAg structure (PBE).

Values from the calculation:
Mass density (g/cm³): 7.7
Space group: No. 216
Energy relative to the elements (meV per atom): -155

a = 4.8363 Å, b = 4.8363 Å, c = 4.8363 Å
α = 60.00°, β = 60.00°, γ = 60.00°
Closest atoms and distances in Å follow each position.
Positions (direct):
Sc1 0.5000 0.5000 0.5000  4 Ag 2.96, 4 Co 2.96
Gd1 0.0000 0.0000 0.0000  4 Co 2.96, 4 Ag 2.96
Ag1 0.2500 0.2500 0.2500  4 Gd 2.96, 4 Sc 2.96
Co1 0.7500 0.7500 0.7500  4 Gd 2.96, 4 Sc 2.96

[7]
Entry from Alexandria via LeMat-Bulk: a geometry-optimized YTl4Rh structure (PBE).

Values from the calculation:
Mass density (g/cm³): 10.6
Space group: No. 216
Energy relative to the elements (meV per atom): 376

a = 6.0782 Å, b = 6.0782 Å, c = 6.0782 Å
α = 60.00°, β = 60.00°, γ = 60.00°
Closest atoms and distances in Å follow each position.
Positions (direct):
Tl1 0.3744 0.3744 0.3744  6 Tl 3.02-3.05
Tl2 0.3744 0.3744 0.8768  6 Tl 3.02-3.05
Tl3 0.8768 0.3744 0.3744  6 Tl 3.02-3.05
Tl4 0.3744 0.8768 0.3744  6 Tl 3.02-3.05
Rh1 0.0000 0.0000 0.0000  12 Tl 3.56, 4 Y 3.72
Y1 0.7500 0.7500 0.7500  12 Tl 3.57, 4 Rh 3.72

[8]
Entry from Alexandria via LeMat-Bulk: a geometry-optimized HfSbNF2 structure (PBE).

Values from the calculation:
Mass density (g/cm³): 6.8
Space group: No. 123
E_form (uncorrected) (meV/atom): -98
Polymorph energy (0 for the lowest one) (meV per atom): 1382

a = 4.2415 Å, b = 4.2415 Å, c = 4.7906 Å
α = 90.00°, β = 90.00°, γ = 90.00°
Closest atoms and distances in Å follow each position.
Positions (direct):
N1 0.0000 0.0000 0.5000  2 Sb 2.40
Sb1 0.0000 0.0000 0.0000  4 F 2.12
Hf1 0.5000 0.5000 0.5000  4 N 3.00, 8 F 3.20
F1 0.5000 0.0000 0.0000  2 Sb 2.12
F2 0.0000 0.5000 0.0000  2 Sb 2.12

[9]
Entry from Alexandria via LeMat-Bulk: a geometry-optimized MgGeAu2 structure (PBE).

Values from the calculation:
Mass density (g/cm³): 10.1
Space group: No. 122
Energy relative to the elements (meV per atom): -123

a = 4.2449 Å, b = 4.2449 Å, c = 9.4070 Å
α = 76.96°, β = 76.96°, γ = 90.00°
Closest atoms and distances in Å follow each position.
Positions (direct):
Ge1 0.7500 0.2500 0.5000  4 Au 2.67
Ge2 0.0000 0.0000 0.0000  4 Au 2.67
Au1 0.8750 0.8874 0.7500  2 Ge 2.67, 2 Mg 2.71, 2 Au 2.93
Au2 0.6374 0.1250 0.2500  2 Ge 2.67, 2 Mg 2.71, 2 Au 2.93
Au3 0.1126 0.6250 0.2500  2 Ge 2.67, 2 Mg 2.71, 2 Au 2.93
Au4 0.3750 0.3626 0.7500  2 Ge 2.67, 2 Mg 2.71, 2 Au 2.93
Mg1 0.5000 0.5000 0.0000  4 Au 2.71, 4 Ge 3.00
Mg2 0.2500 0.7500 0.5000  4 Au 2.71, 4 Ge 3.00

[10]
Entry from Alexandria via LeMat-Bulk: a geometry-optimized Si2TcSn structure (PBE).

Values from the calculation:
Mass density (g/cm³): 4.7
Space group: No. 122
E_form (uncorrected) (meV/atom): 517

a = 5.8316 Å, b = 5.8316 Å, c = 7.0182 Å
α = 65.45°, β = 65.45°, γ = 90.00°
Closest atoms and distances in Å follow each position.
Positions (direct):
Si1 0.5716 0.1250 0.2500  2 Tc 2.34
Si2 0.8750 0.8216 0.7500  2 Tc 2.34
Si3 0.1784 0.6250 0.2500  2 Tc 2.34
Si4 0.3750 0.4284 0.7500  2 Tc 2.34
Tc1 0.2500 0.7500 0.5000  4 Si 2.34
Tc2 0.5000 0.5000 0.0000  4 Si 2.34
Sn1 0.0000 0.0000 0.0000  4 Si 2.70
Sn2 0.7500 0.2500 0.5000  4 Si 2.70

[11]
Entry from Alexandria via LeMat-Bulk: a geometry-optimized PuSi4Rh4 structure (PBE).

Values from the calculation:
Mass density (g/cm³): 8.3
Space group: No. 87
E_form (uncorrected) (meV/atom): -663

a = 4.1208 Å, b = 8.6268 Å, c = 8.6268 Å
α = 90.00°, β = 90.00°, γ = 90.00°
Closest atoms and distances in Å follow each position.
Positions (direct):
Si1 0.5000 0.2735 0.1612  4 Rh 2.29-2.37
Si2 0.0000 0.3388 0.7735  4 Rh 2.29-2.37
Si3 0.5000 0.8388 0.2735  4 Rh 2.29-2.37
Si4 0.5000 0.7265 0.8388  4 Rh 2.29-2.37
Si5 0.5000 0.1612 0.7265  4 Rh 2.29-2.37
Si6 0.0000 0.6612 0.2265  4 Rh 2.29-2.37
Si7 0.0000 0.2265 0.3388  4 Rh 2.29-2.37
Si8 0.0000 0.7735 0.6612  4 Rh 2.29-2.37
Rh1 0.5000 0.0923 0.3558  4 Si 2.29-2.37
Rh2 0.0000 0.4077 0.1442  4 Si 2.29-2.37
Rh3 0.5000 0.9077 0.6442  4 Si 2.29-2.37
Rh4 0.0000 0.5923 0.8558  4 Si 2.29-2.37
Rh5 0.0000 0.8558 0.4077  4 Si 2.29-2.37
Rh6 0.5000 0.6442 0.0923  4 Si 2.29-2.37
Rh7 0.5000 0.3558 0.9077  4 Si 2.29-2.37
Rh8 0.0000 0.1442 0.5923  4 Si 2.29-2.37
Pu1 0.5000 0.5000 0.5000  12 Si 3.43-3.52, 12 Rh 3.73-3.78
Pu2 0.0000 0.0000 0.0000  12 Si 3.43-3.52, 12 Rh 3.73-3.78

[12]
Entry from Alexandria via LeMat-Bulk: a geometry-optimized CaMnSe structure (PBE).

Values from the calculation:
Mass density (g/cm³): 4.5
Space group: No. 12
E_form (uncorrected) (meV/atom): -507
Polymorph energy (0 for the lowest one) (meV per atom): 267

a = 6.1252 Å, b = 3.8811 Å, c = 10.9534 Å
α = 90.00°, β = 100.89°, γ = 90.00°
Closest atoms and distances in Å follow each position.
Positions (direct):
Mn1 0.4167 0.5000 0.7247  2 Mn 2.21, 2 Se 2.45
Mn2 0.5833 0.0000 0.7753  2 Mn 2.21, 2 Se 2.45
Mn3 0.5833 0.5000 0.2753  2 Mn 2.21, 2 Se 2.45
Mn4 0.4167 0.0000 0.2247  2 Mn 2.21, 2 Se 2.45
Ca1 0.8176 0.5000 0.6122  3 Mn 2.95-3.16, 5 Se 3.10-3.21
Ca2 0.8176 0.0000 0.1122  3 Mn 2.95-3.16, 5 Se 3.10-3.21
Ca3 0.1824 0.5000 0.3878  3 Mn 2.95-3.16, 5 Se 3.10-3.21
Ca4 0.1824 0.0000 0.8878  3 Mn 2.95-3.16, 5 Se 3.10-3.21
Se1 0.7654 0.5000 0.8883  3 Mn 2.45-2.52
Se2 0.7654 0.0000 0.3883  3 Mn 2.45-2.52
Se3 0.2346 0.5000 0.1117  3 Mn 2.45-2.52
Se4 0.2346 0.0000 0.6117  3 Mn 2.45-2.52

Question: Look up the mass density of the eighth one.
Answer: 6.8 g/cm³